Here is a relaxed Co2SiO crystal from Alexandria via LeMat-Bulk. Energies are from PBE with a Hubbard U.

Unit cell a=3.8541 b=3.8541 c=3.8541 alpha=60.00 beta=60.00 gamma=60.00
Fractional coordinates of all 4 atoms:
Si: 0.5000 0.5000 0.5000
O: 0.0000 0.0000 0.0000
Co: 0.2500 0.2500 0.2500
Co: 0.7500 0.7500 0.7500

Summary:
Size of the total moment: 2.00 μB/f.u.
Space-group type: Fm-3m, No. 225
Calculated total energy: -4.752 eV/atom
V: 40.5 Å³/cell
Distance to the lowest polymorph of the same formula: 423 meV/atom